Entry from Alexandria: a relaxed Ca3ScCu crystal (GGA-PBE).

The structure belongs to space group Pm-3m (No. 221); the cell edges are 5.935, 5.935 and 5.935 Å and the angles 90.00°, 90.00° and 90.00°. The inequivalent atoms are Ca at (0.000, 0.000, 0.500), Sc at (0.000, 0.000, 0.000) and Cu at (0.500, 0.500, 0.500).

For the polymorph energy (0 for the lowest one), the calculation gives 3.91 eV/f.u. The formation enthalpy at 0 K is 1031 meV/atom. The value obtained for the density is 1.82 g/cm3. The calculation puts the magnetic moment at 3.65 μB per cell.